Ba3C | PBE-GGA | relaxed

As for the energy of formation from the pure elements: 0.51 eV per atom. Its symmetry is P6_3/mmc, No. 194. For the density, the calculation gives 3.4 Mg/m³.

a = 11.0408 Å, b = 11.0408 Å, c = 3.8823 Å
α = 90.00°, β = 90.00°, γ = 120.00°
Atoms (fractional coordinates):
1 Ba 0.2257 0.4514 0.2500
2 Ba 0.2257 0.7743 0.2500
3 Ba 0.4514 0.2257 0.7500
4 Ba 0.5486 0.7743 0.2500
5 Ba 0.7743 0.2257 0.7500
6 Ba 0.7743 0.5486 0.7500
7 C 0.3333 0.6667 0.7500
8 C 0.6667 0.3333 0.2500